Record 1
A plane-wave DFT calculation with PBE was carried out for a geometry-optimized NaFeRu2Cl structure.

Cell lengths 4.429, 4.429, 4.264 Å; angles 90.00, 90.00, 90.00 degrees
Fractional positions:
Na  0.000  0.000  0.000
Fe  0.500  0.500  0.000
Ru  0.000  0.500  0.500
Ru  0.500  0.000  0.500
Cl  0.500  0.500  0.500

## Properties
Its spin magnetization is 3.9 Bohr magnetons per cell. The raw formation energy is 0.983 eV/atom.

---

Record 2
A plane-wave DFT calculation with PBE was carried out for a geometry-optimized K8SbH2 structure.

Cell lengths 7.896, 7.896, 7.835 Å; angles 90.00, 90.00, 90.00 degrees
Fractional positions:
K  0.249  0.249  0.237
K  0.249  0.249  0.763
K  0.249  0.751  0.237
K  0.249  0.751  0.763
K  0.751  0.249  0.237
K  0.751  0.249  0.763
K  0.751  0.751  0.237
K  0.751  0.751  0.763
Sb  0.500  0.500  0.500
H  0.000  0.500  0.000
H  0.500  0.000  0.000

## Properties
Its spin magnetization is 0.7 Bohr magnetons per cell. The calculation puts the energy at -0.1351 Ry/atom.

---

Record 3
A plane-wave DFT calculation with PBE was carried out for a geometry-optimized Y2ErAs structure.

Cell lengths 9.651, 9.651, 9.651 Å; angles 23.05, 23.05, 23.05 degrees
Fractional positions:
Y  0.228  0.228  0.228
Y  0.772  0.772  0.772
Er  0.000  0.000  0.000
As  0.500  0.500  0.500

## Properties
The formation energy is -598 meV per atom. Its spin magnetization is 1.0 Bohr magnetons per cell.

---

Record 4
A plane-wave DFT calculation with PBE was carried out for a geometry-optimized Pm2NdBiC structure.

Cell lengths 5.082, 5.082, 5.131 Å; angles 90.00, 90.00, 90.00 degrees
Fractional positions:
Pm  0.000  0.500  0.000
Pm  0.500  0.000  0.000
Nd  0.000  0.000  0.500
Bi  0.500  0.500  0.500
C  0.000  0.000  0.000

## Properties
The formation energy is -462 meV per atom. Its spin magnetization is 0.0 Bohr magnetons per cell.

---

Record 5
A plane-wave DFT calculation with PBE was carried out for a geometry-optimized Ca2Tl2Cd structure.

Cell lengths 8.362, 8.362, 3.701 Å; angles 90.00, 90.00, 145.67 degrees
Fractional positions:
Ca  0.115  0.885  0.000
Ca  0.885  0.115  0.000
Tl  0.307  0.693  0.500
Tl  0.693  0.307  0.500
Cd  0.500  0.500  0.500

## Properties
The formation energy is -281 meV per atom. Its spin magnetization is 0.0 Bohr magnetons per cell. The offset from the most stable computed form is 45 meV/atom.

---

Record 6
A plane-wave DFT calculation with PBE was carried out for a geometry-optimized BPdSCl2 structure.

Cell lengths 4.920, 4.920, 4.638 Å; angles 90.00, 90.00, 90.00 degrees
Fractional positions:
B  0.000  0.000  0.000
Pd  0.500  0.500  0.500
S  0.500  0.500  0.000
Cl  0.000  0.500  0.500
Cl  0.500  0.000  0.500

## Properties
Its spin magnetization is 0.8 Bohr magnetons per cell. The raw formation energy is 0.906 eV/atom. The offset from the most stable computed form is 257 meV/atom.

---

Record 7
A plane-wave DFT calculation with PBE was carried out for a geometry-optimized Cs2SbRh2 structure.

Cell lengths 6.835, 6.835, 6.149 Å; angles 90.00, 90.00, 90.00 degrees
Fractional positions:
Cs  0.181  0.319  0.000
Cs  0.319  0.819  0.000
Cs  0.681  0.181  0.000
Cs  0.819  0.681  0.000
Sb  0.000  0.000  0.500
Sb  0.500  0.500  0.500
Rh  0.133  0.633  0.500
Rh  0.367  0.133  0.500
Rh  0.633  0.867  0.500
Rh  0.867  0.367  0.500

## Properties
Its spin magnetization is 0.0 Bohr magnetons per cell. The raw formation energy is 0.141 eV/atom. The offset from the most stable computed form is 0 meV/atom.

---

no.,calculated density (kg/m3),N(E_F) (states/eV/f.u.)
1,6281,4.58
2,1484,3.70
3,5768,4.85
4,8211,3.12
5,6842,3.40
6,3257,3.60
7,6860,2.98